! NiHgBF6 | the Alexandria database | GGA+U | relaxed; values from VASP
&SYSTEM
  ibrav = 0, nat = 9, ntyp = 4
/
ATOMIC_SPECIES
Ni 58.69 Ni.upf
Hg 200.59 Hg.upf
B 10.81 B.upf
F 19.00 F.upf
CELL_PARAMETERS angstrom
4.7366 0.0000 0.0000
-2.2010 4.2108 0.0000
-0.3509 -0.5347 6.9598
ATOMIC_POSITIONS crystal
Ni 0.0000 0.0000 0.0000
Hg 0.7394 0.3256 0.6492
B 0.3058 0.6399 0.2340
F 0.0873 0.6318 0.0780
F 0.2295 0.3157 0.2540
F 0.2630 0.7753 0.4013
F 0.4064 0.2331 0.9114
F 0.6237 0.8176 0.1810
F 0.7822 0.8498 0.7449
! * density of states at the Fermi level: 0.142 states/eV/atom
! * uncorrected energy: -0.321 Ry per atom
! * magnetization: 0.22 μB/atom
! * SG: P1
! * mass density: 4595 kg/m3